Below is crystalline Gd2MnSbO7 at its relaxed geometry, with properties calculated at the GGA+U level.

POSCAR file:
```
Gd2MnSbO7
1.0
-3.633 3.692 5.154
3.633 -3.692 5.154
3.633 3.692 -5.154
Gd Mn Sb O
4 2 2 14
Direct
0.000 0.000 0.000 Gd
0.500 0.000 0.000 Gd
0.500 0.000 0.500 Gd
0.500 0.500 0.500 Gd
0.000 0.000 0.500 Mn
0.000 0.500 0.000 Mn
0.000 0.500 0.500 Sb
0.500 0.500 0.000 Sb
0.083 0.833 0.250 O
0.086 0.422 0.255 O
0.086 0.831 0.664 O
0.331 0.581 0.750 O
0.333 0.169 0.755 O
0.333 0.578 0.164 O
0.376 0.126 0.250 O
0.624 0.874 0.750 O
0.667 0.422 0.836 O
0.667 0.831 0.245 O
0.669 0.419 0.250 O
0.914 0.169 0.336 O
0.914 0.578 0.745 O
0.917 0.167 0.750 O
```

Results
For the raw total energy, the calculation gives -9.1351 eV per atom. Its space group is Imma, No. 74.